PuNi3Ge2 | PBE | relaxed

Cell: 8.098 8.098 9.443 Å, 106.10 106.10 27.62°
Sites, in units of the cell vectors:
Pu  0.000  0.000  0.000
Pu  0.160  0.160  0.708
Pu  0.840  0.840  0.292
Ni  0.047  0.047  0.344
Ni  0.213  0.213  0.391
Ni  0.324  0.324  0.030
Ni  0.376  0.376  0.796
Ni  0.500  0.500  0.500
Ni  0.624  0.624  0.204
Ni  0.676  0.676  0.970
Ni  0.787  0.787  0.609
Ni  0.953  0.953  0.656
Ge  0.198  0.198  0.129
Ge  0.359  0.359  0.540
Ge  0.467  0.467  0.225
Ge  0.533  0.533  0.775
Ge  0.641  0.641  0.460
Ge  0.802  0.802  0.871

Computed properties:
Calculated formation energy (eV per atom): -0.447
Crystal system: monoclinic
Calculated density (Mg/m³): 10.2


Dy2YEr | PBE | relaxed

Cell: 3.570 3.570 34.236 Å, 90.00 90.00 120.00°
Sites, in units of the cell vectors:
Dy  0.000  0.000  0.000
Dy  0.000  0.000  0.167
Dy  0.333  0.667  0.667
Dy  0.333  0.667  0.834
Dy  0.667  0.333  0.333
Dy  0.667  0.333  0.501
Y  0.000  0.000  0.417
Y  0.333  0.667  0.084
Y  0.667  0.333  0.751
Er  0.000  0.000  0.584
Er  0.333  0.667  0.250
Er  0.667  0.333  0.917

Computed properties:
Distance to the lowest polymorph of the same formula (eV per atom): 0.000
Calculated formation energy (eV per atom): 0.011
Crystal system: trigonal
Calculated density (Mg/m³): 7.7


PrThHgGe | PBE | relaxed

Cell: 7.548 7.548 7.548 Å, 90.00 90.00 90.00°
Sites, in units of the cell vectors:
Pr  0.000  0.000  0.000
Pr  0.000  0.500  0.500
Pr  0.500  0.000  0.500
Pr  0.500  0.500  0.000
Th  0.000  0.000  0.500
Th  0.000  0.500  0.000
Th  0.500  0.000  0.000
Th  0.500  0.500  0.500
Hg  0.250  0.250  0.250
Hg  0.250  0.750  0.750
Hg  0.750  0.250  0.750
Hg  0.750  0.750  0.250
Ge  0.250  0.250  0.750
Ge  0.250  0.750  0.250
Ge  0.750  0.250  0.250
Ge  0.750  0.750  0.750

Computed properties:
Calculated formation energy (eV per atom): -0.427
Crystal system: cubic
Calculated density (Mg/m³): 10.0


KCaOs2F | PBE | relaxed

Cell: 4.504 4.504 4.842 Å, 90.00 90.00 90.00°
Sites, in units of the cell vectors:
K  0.000  0.000  0.000
Ca  0.500  0.500  0.000
Os  0.000  0.500  0.500
Os  0.500  0.000  0.500
F  0.500  0.500  0.500

Computed properties:
Crystal system: tetragonal
Calculated density (Mg/m³): 8.1
ΔE_f (raw) (eV per formula unit): 4.85


NaNiBi2Se | PBE | relaxed

Cell: 5.879 5.879 4.278 Å, 90.00 90.00 90.00°
Sites, in units of the cell vectors:
Na  0.000  0.000  0.000
Ni  0.500  0.500  0.000
Bi  0.000  0.500  0.500
Bi  0.500  0.000  0.500
Se  0.500  0.500  0.500

Computed properties:
Crystal system: tetragonal
Calculated density (Mg/m³): 6.5
ΔE_f (raw) (eV per formula unit): 1.13


YHf2Mn2 | PBE | relaxed

Cell: 4.282 4.282 11.000 Å, 90.00 90.00 90.00°
Sites, in units of the cell vectors:
Y  0.000  0.000  0.000
Y  0.500  0.500  0.500
Hf  0.000  0.000  0.365
Hf  0.000  0.000  0.635
Hf  0.500  0.500  0.135
Hf  0.500  0.500  0.865
Mn  0.000  0.500  0.250
Mn  0.000  0.500  0.750
Mn  0.500  0.000  0.250
Mn  0.500  0.000  0.750

Computed properties:
Distance to the lowest polymorph of the same formula (eV per atom): 0.387
Calculated formation energy (eV per atom): 0.465
Crystal system: tetragonal
Calculated density (Mg/m³): 9.2


Copy entry 3 word for word.
PrThHgGe | PBE | relaxed

Cell: 7.548 7.548 7.548 Å, 90.00 90.00 90.00°
Sites, in units of the cell vectors:
Pr  0.000  0.000  0.000
Pr  0.000  0.500  0.500
Pr  0.500  0.000  0.500
Pr  0.500  0.500  0.000
Th  0.000  0.000  0.500
Th  0.000  0.500  0.000
Th  0.500  0.000  0.000
Th  0.500  0.500  0.500
Hg  0.250  0.250  0.250
Hg  0.250  0.750  0.750
Hg  0.750  0.250  0.750
Hg  0.750  0.750  0.250
Ge  0.250  0.250  0.750
Ge  0.250  0.750  0.250
Ge  0.750  0.250  0.250
Ge  0.750  0.750  0.750

Computed properties:
Calculated formation energy (eV per atom): -0.427
Crystal system: cubic
Calculated density (Mg/m³): 10.0